Computed, not measured: an optimized crystal structure of PrLuSe3 at the GGA-PBE level of DFT.

Computed properties:
Electronic total energy   -58.3 eV per cell
Total magnetization   0.00 Bohr magnetons per cell

abc: 6.876 6.876 9.994
angles: 90.00 90.00 145.76
Fractional coordinates of all 10 atoms:
Se 0.643 0.357 0.561
Se 0.357 0.643 0.061
Se 0.357 0.643 0.439
Se 0.643 0.357 0.939
Se 0.915 0.085 0.750
Se 0.085 0.915 0.250
Pr 0.252 0.748 0.750
Pr 0.748 0.252 0.250
Lu 0.000 0.000 0.500
Lu 0.000 0.000 0.000

Computed, not measured: an optimized crystal structure of PrLuSe at the GGA-PBE level of DFT.

Computed properties:
Electronic total energy   -15.9 eV per cell
Total magnetization   0.05 Bohr magnetons per cell

abc: 3.886 3.886 6.695
angles: 90.00 90.00 120.00
Fractional coordinates of all 3 atoms:
Pr 0.000 0.000 0.047
Lu 0.333 0.667 0.605
Se 0.667 0.333 0.347